<a>
HfSnAsSe2 | PBE | relaxed

Cell and atoms, written as POSCAR:
```
HfSnAsSe2
1.0
5.1498 0.0000 0.0000
0.0000 5.1498 0.0000
0.0000 0.0000 5.2364
As Hf Sn Se
1 1 1 2
Cartesian
0.0000 0.0000 2.6182 As
0.0000 0.0000 0.0000 Hf
2.5749 2.5749 2.6182 Sn
0.0000 2.5749 0.0000 Se
2.5749 0.0000 0.0000 Se
```

<b>
HfSnAsSe2 | PBE | relaxed

Cell and atoms, written as POSCAR:
```
HfSnAsSe2
1.0
-2.5240 -3.3977 2.8790
2.1139 -3.8267 -2.6629
3.9401 -0.1247 3.3071
As Hf Sn Se
1 1 1 2
Cartesian
1.9701 -0.0624 1.6535 As
1.7650 -3.6746 1.7616 Hf
0.0000 0.0000 0.0000 Sn
1.0569 -1.9134 -1.3314 Se
-1.2620 -1.6988 1.4395 Se
```

What are the relative energies? In meV/atom: <a> 0; <b> 928.

<a>
SrHfAs2Se | PBE | relaxed

Cell and atoms, written as POSCAR:
```
SrHfAs2Se
1.0
5.1841 0.0000 0.0000
0.0000 5.1841 0.0000
0.0000 0.0000 5.2207
Sr As Hf Se
1 2 1 1
Cartesian
2.5921 2.5921 2.6103 Sr
0.0000 2.5921 0.0000 As
2.5921 0.0000 0.0000 As
0.0000 0.0000 0.0000 Hf
0.0000 0.0000 2.6103 Se
```

<b>
SrHfAs2Se | PBE | relaxed

Cell and atoms, written as POSCAR:
```
SrHfAs2Se
1.0
-0.4621 -2.6543 -4.6002
3.6064 -3.5467 1.6841
-3.9760 -3.0245 2.1446
Sr As Hf Se
1 2 1 1
Cartesian
0.0000 0.0000 0.0000 Sr
1.8032 -1.7733 0.8421 As
-0.2311 -1.3271 -2.3001 As
-0.4159 -4.6128 -0.3858 Hf
-1.9880 -1.5123 1.0723 Se
```

What are the relative energies? In meV/atom: <a> 0; <b> 1750.

<a>
HfTaAs2Se | PBE | relaxed

Cell and atoms, written as POSCAR:
```
HfTaAs2Se
1.0
4.9849 0.0000 0.0000
0.0000 4.9849 0.0000
0.0000 0.0000 4.8757
As Hf Se Ta
2 1 1 1
Cartesian
0.0000 2.4925 0.0000 As
2.4925 0.0000 0.0000 As
2.4925 2.4925 2.4378 Hf
0.0000 0.0000 2.4378 Se
0.0000 0.0000 0.0000 Ta
```

<b>
HfTaAs2Se | PBE | relaxed

Cell and atoms, written as POSCAR:
```
HfTaAs2Se
1.0
-4.4085 -0.0911 -2.4851
-2.2592 -1.9675 4.0797
-1.0165 4.5597 1.6361
As Hf Se Ta
2 1 1 1
Cartesian
-1.1296 -0.9837 2.0399 As
-2.2042 -0.0455 -1.2426 As
0.0000 0.0000 0.0000 Hf
-0.5082 2.2799 0.8181 Se
-3.8421 1.2506 1.6153 Ta
```

What are the relative energies? In meV/atom: <a> 0; <b> 410.

<a>
HfTaAsSe2 | PBE | relaxed

Cell and atoms, written as POSCAR:
```
HfTaAsSe2
1.0
5.0275 0.0000 0.0000
0.0000 5.0275 0.0000
0.0000 0.0000 5.1520
As Hf Se Ta
1 1 2 1
Cartesian
0.0000 0.0000 2.5760 As
0.0000 0.0000 0.0000 Hf
0.0000 2.5137 0.0000 Se
2.5137 0.0000 0.0000 Se
2.5137 2.5137 2.5760 Ta
```

<b>
HfTaAsSe2 | PBE | relaxed

Cell and atoms, written as POSCAR:
```
HfTaAsSe2
1.0
-4.4569 1.4271 1.5197
1.3594 -0.7299 4.6722
1.6226 4.7758 0.2740
As Hf Se Ta
1 1 2 1
Cartesian
0.8113 2.3879 0.1370 As
-0.7374 2.7365 3.2330 Hf
0.6797 -0.3650 2.3361 Se
-2.2285 0.7135 0.7599 Se
0.0000 0.0000 0.0000 Ta
```

What are the relative energies? In meV/atom: <a> 251; <b> 0.

<a>
HfTeAsSe2 | PBE | relaxed

Cell and atoms, written as POSCAR:
```
HfTeAsSe2
1.0
5.1785 0.0000 0.0000
0.0000 5.1785 0.0000
0.0000 0.0000 5.2544
As Te Hf Se
1 1 1 2
Cartesian
0.0000 0.0000 2.6272 As
0.0000 0.0000 0.0000 Te
2.5892 2.5892 2.6272 Hf
0.0000 2.5892 0.0000 Se
2.5892 0.0000 0.0000 Se
```

<b>
HfTeAsSe2 | PBE | relaxed

Cell and atoms, written as POSCAR:
```
HfTeAsSe2
1.0
-0.3278 4.5941 2.1028
-4.7520 0.4356 -1.6924
-1.8389 -2.2317 4.5892
As Te Hf Se
1 1 1 2
Cartesian
-0.9195 -1.1159 2.2946 As
-3.4594 1.3990 2.4998 Te
0.0000 0.0000 0.0000 Hf
-2.3760 0.2178 -0.8462 Se
-0.1639 2.2971 1.0514 Se
```

What are the relative energies? In meV/atom: <a> 880; <b> 0.

<a>
HfAs2WSe | PBE | relaxed

Cell and atoms, written as POSCAR:
```
HfAs2WSe
1.0
-3.8174 2.7210 2.0531
-2.3104 -4.3318 1.4453
2.4579 0.1483 4.3736
As Hf Se W
2 1 1 1
Cartesian
-1.1552 -2.1659 0.7226 As
-1.9087 1.3605 1.0266 As
0.0000 0.0000 0.0000 Hf
1.2290 0.0741 2.1868 Se
-1.8349 -0.7313 3.9360 W
```

<b>
HfAs2WSe | PBE | relaxed

Cell and atoms, written as POSCAR:
```
HfAs2WSe
1.0
-0.0754 -1.4574 4.6367
1.1445 -4.5122 -1.3996
4.7663 1.0797 0.4169
As Hf Se W
2 1 1 1
Cartesian
0.5723 -2.2561 -0.6998 As
-0.0377 -0.7287 2.3184 As
2.9177 -2.4450 1.8270 Hf
2.3831 0.5398 0.2084 Se
0.0000 0.0000 0.0000 W
```

What are the relative energies? In meV/atom: <a> 379; <b> 0.